## MgMoPt (GGA-PBE)

Data for a relaxed MgMoPt crystal.

Summary:
DOS(E_F) in states/eV/cell: 3.54
Calculated volume in Å³/cell: 97.4
Formation enthalpy at 0 K in eV/atom: -0.340
Space-group type: P2_1 (4)
Energy above the lowest structure with this stoichiometry in eV/f.u.: 0.00

Lattice parameters (Å, degrees): 2.9655 7.4401 4.5045 89.97 89.99 78.61
Closest atoms and distances in Å follow each position.
Fractional positions:
1 Mo 0.9142 0.6749 0.7310  6 Mo 2.70-2.97, 3 Pt 2.72-2.95, 1 Mg 3.00
2 Mo 0.4297 0.6469 0.2311  6 Mo 2.70-2.97, 3 Pt 2.72-2.95, 1 Mg 3.00
3 Pt 0.2621 0.9788 0.6065  6 Mg 2.68-2.83, 3 Mo 2.72-2.95, 2 Pt 2.97
4 Mg 0.5977 0.3095 0.6128  6 Pt 2.68-2.83, 2 Mg 2.97, 1 Mo 3.00
5 Mg 0.7463 0.0123 0.1124  6 Pt 2.68-2.83, 2 Mg 2.97, 1 Mo 3.00
6 Pt 0.0819 0.3429 0.1071  6 Mg 2.68-2.83, 3 Mo 2.72-2.95, 2 Pt 2.97